# GGA-PBE Np2USb4, optimized geometry
# - uncorrected energy (eV/atom) = -7.722
# - formation energy from raw total energies (eV/atom) = -0.056
# - distance to the lowest polymorph of the same formula (eV/f.u.) = 0.02
# - Fermi-level density of states (states/eV/f.u.) = 23.4
# - total magnetization (Bohr magnetons per cell) = 11.4
data_Np2USb4
_cell_length_a 4.305
_cell_length_b 4.305
_cell_length_c 11.002
_cell_angle_alpha 90.00
_cell_angle_beta 90.00
_cell_angle_gamma 90.00
_space_group_name_H-M_alt 'P -4 m 2'
_space_group_IT_number 115
_space_group_name_Hall 'P -4 -2'
loop_
_atom_site_label
_atom_site_type_symbol
_atom_site_fract_x
_atom_site_fract_y
_atom_site_fract_z
Np1 Np 0.000 0.500 0.223
U1 U 0.000 0.000 0.500
Sb1 Sb 0.000 0.000 0.000
Sb2 Sb 0.000 0.500 0.697
Sb3 Sb 0.500 0.500 0.000